! Rb2NaU3Te8 PBE-GGA relaxed; values from VASP
! Magnetization: 5.0 μB/cell
! Raw formation energy: -10.73 eV per formula unit
! N(E_F): 17.039 states/eV per cell
&SYSTEM
  ibrav = 0, nat = 14, ntyp = 4
/
ATOMIC_SPECIES
Rb 85.47 Rb.upf
Te 127.60 Te.upf
U 238.03 U.upf
Na 22.99 Na.upf
CELL_PARAMETERS angstrom
8.957 0.000 0.000
4.479 7.757 0.000
4.479 2.586 9.176
ATOMIC_POSITIONS crystal
Rb 0.136 0.136 0.593
Te 0.749 0.749 0.219
Te 0.719 0.719 0.843
U 0.492 0.492 0.031
Rb 0.489 0.489 0.534
Na 0.984 0.984 0.047
U 0.985 0.492 0.031
Te 0.227 0.227 0.849
U 0.492 0.985 0.031
Te 0.749 0.283 0.219
Te 0.697 0.227 0.849
Te 0.264 0.264 0.209
Te 0.283 0.749 0.219
Te 0.227 0.697 0.849

! RbNaZnTe2 PBE-GGA relaxed; values from VASP
! Magnetization: 0.0 μB/cell
! Raw formation energy: -2.75 eV per formula unit
! N(E_F): 0.340 states/eV per cell
&SYSTEM
  ibrav = 0, nat = 10, ntyp = 4
/
ATOMIC_SPECIES
Zn 65.41 Zn.upf
Te 127.60 Te.upf
Rb 85.47 Rb.upf
Na 22.99 Na.upf
CELL_PARAMETERS angstrom
-5.050 3.370 -3.410
-1.003 -4.644 -3.105
-5.772 -2.691 5.889
ATOMIC_POSITIONS crystal
Zn 0.000 0.500 0.000
Te 0.218 0.750 0.220
Rb 0.226 0.250 0.500
Te 0.782 0.250 0.220
Te 0.782 0.250 0.780
Te 0.218 0.750 0.780
Rb 0.774 0.750 0.500
Zn 0.000 0.000 0.000
Na 0.590 0.750 0.000
Na 0.410 0.250 0.000